#1
Here is a relaxed CuOsBr2 crystal from Alexandria. Energies are from PBE.

Cell and atoms, written as CIF:
```
data_CuOsBr2
_cell_length_a 3.2100
_cell_length_b 3.2100
_cell_length_c 9.9515
_cell_angle_alpha 90.00
_cell_angle_beta 90.00
_cell_angle_gamma 124.56
_space_group_name_H-M_alt 'P 1'
_space_group_IT_number 1
loop_
_space_group_symop_operation_xyz
'x,y,z'
loop_
_atom_site_label
_atom_site_fract_x
_atom_site_fract_y
_atom_site_fract_z
Cu1 0.0000 0.0000 0.0000
Os1 0.5000 0.5000 0.7930
Br1 0.0000 0.0000 0.5898
Br2 0.5000 0.5000 0.1971
```

Computed properties:
Space-group type = Cmm2 (35)
Spin magnetization = 0.00 μB/f.u.

---

#2
Here is a relaxed CuOsBr2 crystal from Alexandria. Energies are from PBE.

Cell and atoms, written as CIF:
```
data_CuOsBr2
_cell_length_a 8.0234
_cell_length_b 8.0234
_cell_length_c 8.0234
_cell_angle_alpha 23.52
_cell_angle_beta 23.52
_cell_angle_gamma 23.52
_space_group_name_H-M_alt 'P 1'
_space_group_IT_number 1
loop_
_space_group_symop_operation_xyz
'x,y,z'
loop_
_atom_site_label
_atom_site_fract_x
_atom_site_fract_y
_atom_site_fract_z
Cu1 0.0000 0.0000 0.0000
Os1 0.5000 0.5000 0.5000
Br1 0.2484 0.2484 0.2484
Br2 0.7516 0.7516 0.7516
```

Computed properties:
Space-group type = R-3m (166)
Spin magnetization = 0.00 μB/f.u.

---

Need the numbers? Relative energies in eV/atom: #1 0.000; #2 0.307.

---

#1
Here is a relaxed FeMoOs crystal from Alexandria. Energies are from PBE.

Cell and atoms, written as CIF:
```
data_FeMoOs
_cell_length_a 4.6770
_cell_length_b 4.6770
_cell_length_c 4.6770
_cell_angle_alpha 146.41
_cell_angle_beta 131.41
_cell_angle_gamma 60.36
_space_group_name_H-M_alt 'P 1'
_space_group_IT_number 1
loop_
_space_group_symop_operation_xyz
'x,y,z'
loop_
_atom_site_label
_atom_site_fract_x
_atom_site_fract_y
_atom_site_fract_z
Fe1 0.0000 0.0000 0.0000
Mo1 0.6706 0.6706 0.0000
Os1 0.3429 0.3429 0.0000
```

Computed properties:
Space-group type = Imm2 (44)
Spin magnetization = 2.10 μB/f.u.

---

#2
Here is a relaxed FeMoOs crystal from Alexandria. Energies are from PBE.

Cell and atoms, written as CIF:
```
data_FeMoOs
_cell_length_a 3.2700
_cell_length_b 3.7999
_cell_length_c 3.8243
_cell_angle_alpha 90.00
_cell_angle_beta 90.00
_cell_angle_gamma 90.00
_space_group_name_H-M_alt 'P 1'
_space_group_IT_number 1
loop_
_space_group_symop_operation_xyz
'x,y,z'
loop_
_atom_site_label
_atom_site_fract_x
_atom_site_fract_y
_atom_site_fract_z
Fe1 0.0000 0.0000 0.0000
Mo1 0.5000 0.0000 0.5000
Os1 0.5000 0.5000 0.0000
```

Computed properties:
Space-group type = Pmmm (47)
Spin magnetization = 1.67 μB/f.u.

---

Need the numbers? Relative energies in eV/atom: #1 0.000; #2 0.713.

---

#1
Here is a relaxed CuTc2W crystal from Alexandria. Energies are from PBE.

Cell and atoms, written as CIF:
```
data_CuTc2W
_cell_length_a 3.9260
_cell_length_b 3.9260
_cell_length_c 3.7132
_cell_angle_alpha 90.00
_cell_angle_beta 90.00
_cell_angle_gamma 90.00
_space_group_name_H-M_alt 'P 1'
_space_group_IT_number 1
loop_
_space_group_symop_operation_xyz
'x,y,z'
loop_
_atom_site_label
_atom_site_fract_x
_atom_site_fract_y
_atom_site_fract_z
Cu1 0.0000 0.0000 0.0000
Tc1 0.0000 0.5000 0.5000
Tc2 0.5000 0.0000 0.5000
W1 0.5000 0.5000 0.0000
```

Computed properties:
Space-group type = P4/mmm (123)
Spin magnetization = 0.00 μB/f.u.

---

#2
Here is a relaxed CuTc2W crystal from Alexandria. Energies are from PBE.

Cell and atoms, written as CIF:
```
data_CuTc2W
_cell_length_a 4.8043
_cell_length_b 4.8043
_cell_length_c 4.5441
_cell_angle_alpha 102.45
_cell_angle_beta 102.45
_cell_angle_gamma 34.66
_space_group_name_H-M_alt 'P 1'
_space_group_IT_number 1
loop_
_space_group_symop_operation_xyz
'x,y,z'
loop_
_atom_site_label
_atom_site_fract_x
_atom_site_fract_y
_atom_site_fract_z
Cu1 0.0000 0.0000 0.0000
Tc1 0.4953 0.4953 0.4943
Tc2 0.7513 0.7513 0.2621
W1 0.2484 0.2484 0.7559
```

Computed properties:
Space-group type = Cm (8)
Spin magnetization = 0.00 μB/f.u.

---

Need the numbers? Relative energies in eV/atom: #1 0.000; #2 0.080.

---

#1
Here is a relaxed RbMg5 crystal from Alexandria. Energies are from PBE.

Cell and atoms, written as CIF:
```
data_RbMg5
_cell_length_a 3.7099
_cell_length_b 3.7099
_cell_length_c 12.8868
_cell_angle_alpha 90.00
_cell_angle_beta 90.00
_cell_angle_gamma 90.00
_space_group_name_H-M_alt 'P 1'
_space_group_IT_number 1
loop_
_space_group_symop_operation_xyz
'x,y,z'
loop_
_atom_site_label
_atom_site_fract_x
_atom_site_fract_y
_atom_site_fract_z
Rb1 0.0000 0.0000 0.0000
Mg1 0.0000 0.0000 0.3690
Mg2 0.0000 0.0000 0.6310
Mg3 0.5000 0.5000 0.2380
Mg4 0.5000 0.5000 0.5000
Mg5 0.5000 0.5000 0.7620
```

Computed properties:
Space-group type = P4/mmm (123)
Spin magnetization = 0.00 μB/f.u.

---

#2
Here is a relaxed RbMg5 crystal from Alexandria. Energies are from PBE.

Cell and atoms, written as CIF:
```
data_RbMg5
_cell_length_a 6.3438
_cell_length_b 6.3438
_cell_length_c 5.2533
_cell_angle_alpha 90.00
_cell_angle_beta 90.00
_cell_angle_gamma 120.00
_space_group_name_H-M_alt 'P 1'
_space_group_IT_number 1
loop_
_space_group_symop_operation_xyz
'x,y,z'
loop_
_atom_site_label
_atom_site_fract_x
_atom_site_fract_y
_atom_site_fract_z
Rb1 0.0000 0.0000 0.0000
Mg1 0.0000 0.5000 0.5000
Mg2 0.3333 0.6667 0.0000
Mg3 0.5000 0.0000 0.5000
Mg4 0.5000 0.5000 0.5000
Mg5 0.6667 0.3333 0.0000
```

Computed properties:
Space-group type = P6/mmm (191)
Spin magnetization = 0.00 μB/f.u.

---

Need the numbers? Relative energies in eV/atom: #1 0.000; #2 0.007.

---

#1
Here is a relaxed TcAg2Ru crystal from Alexandria. Energies are from PBE.

Cell and atoms, written as CIF:
```
data_TcAg2Ru
_cell_length_a 5.2572
_cell_length_b 5.2572
_cell_length_c 5.2572
_cell_angle_alpha 138.32
_cell_angle_beta 138.32
_cell_angle_gamma 60.42
_space_group_name_H-M_alt 'P 1'
_space_group_IT_number 1
loop_
_space_group_symop_operation_xyz
'x,y,z'
loop_
_atom_site_label
_atom_site_fract_x
_atom_site_fract_y
_atom_site_fract_z
Tc1 0.0000 0.0000 0.0000
Ag1 0.2500 0.7500 0.5000
Ag2 0.7500 0.2500 0.5000
Ru1 0.5000 0.5000 0.0000
```

Computed properties:
Space-group type = I4/mmm (139)
Spin magnetization = 0.37 μB/f.u.

---

#2
Here is a relaxed TcAg2Ru crystal from Alexandria. Energies are from PBE.

Cell and atoms, written as CIF:
```
data_TcAg2Ru
_cell_length_a 5.0874
_cell_length_b 5.0874
_cell_length_c 4.7155
_cell_angle_alpha 99.13
_cell_angle_beta 99.13
_cell_angle_gamma 31.72
_space_group_name_H-M_alt 'P 1'
_space_group_IT_number 1
loop_
_space_group_symop_operation_xyz
'x,y,z'
loop_
_atom_site_label
_atom_site_fract_x
_atom_site_fract_y
_atom_site_fract_z
Tc1 0.0000 0.0000 0.0000
Ag1 0.2500 0.2500 0.7499
Ag2 0.7500 0.7500 0.2501
Ru1 0.5000 0.5000 0.5000
```

Computed properties:
Space-group type = C2/m (12)
Spin magnetization = 0.61 μB/f.u.

---

Need the numbers? Relative energies in eV/atom: #1 0.072; #2 0.000.

---

#1
Here is a relaxed YBePt3 crystal from Alexandria. Energies are from PBE.

Cell and atoms, written as CIF:
```
data_YBePt3
_cell_length_a 6.3386
_cell_length_b 6.3386
_cell_length_c 6.3386
_cell_angle_alpha 130.47
_cell_angle_beta 109.56
_cell_angle_gamma 90.93
_space_group_name_H-M_alt 'P 1'
_space_group_IT_number 1
loop_
_space_group_symop_operation_xyz
'x,y,z'
loop_
_atom_site_label
_atom_site_fract_x
_atom_site_fract_y
_atom_site_fract_z
Y1 0.0000 0.0000 0.0000
Y2 0.5000 0.0000 0.5000
Be1 0.2890 0.5390 0.7500
Be2 0.7110 0.4610 0.2500
Pt1 0.0971 0.6626 0.4345
Pt2 0.2720 0.3374 0.9345
Pt3 0.5000 0.0000 0.0000
Pt4 0.5000 0.5000 0.5000
Pt5 0.7280 0.6626 0.0655
Pt6 0.9029 0.3374 0.5655
```

Computed properties:
Space-group type = Imma (74)
Spin magnetization = 0.00 μB/f.u.

---

#2
Here is a relaxed YBePt3 crystal from Alexandria. Energies are from PBE.

Cell and atoms, written as CIF:
```
data_YBePt3
_cell_length_a 4.4165
_cell_length_b 4.6078
_cell_length_c 8.5375
_cell_angle_alpha 89.98
_cell_angle_beta 89.98
_cell_angle_gamma 79.00
_space_group_name_H-M_alt 'P 1'
_space_group_IT_number 1
loop_
_space_group_symop_operation_xyz
'x,y,z'
loop_
_atom_site_label
_atom_site_fract_x
_atom_site_fract_y
_atom_site_fract_z
Y1 0.0000 0.0000 0.0000
Y2 0.0235 0.0904 0.5000
Be1 0.6265 0.5004 0.7691
Be2 0.6261 0.5025 0.2303
Pt1 0.0941 0.5893 0.7209
Pt2 0.0940 0.5898 0.2791
Pt3 0.3964 0.4149 0.9999
Pt4 0.5293 0.0286 0.7506
Pt5 0.5297 0.0301 0.2498
Pt6 0.5953 0.6376 0.4999
```

Computed properties:
Space-group type = P1 (1)
Spin magnetization = 0.00 μB/f.u.

---

Need the numbers? Relative energies in eV/atom: #1 0.105; #2 0.000.